No. 1
The following is a DFT calculation (PBE) of Nd3YRu after structural relaxation.

Results
excess energy over the best structure of this formula in the dataset = 0 meV per atom
ΔE_f = -61 meV per atom
density of states at the Fermi level = 6.93 states/eV/f.u.

```
data_Nd3YRu
_chemical_formula_sum 'Nd6 Y2 Ru2'
_cell_length_a 7.7918
_cell_length_b 6.5922
_cell_length_c 6.4015
_cell_angle_alpha 90.00
_cell_angle_beta 90.00
_cell_angle_gamma 90.00
_space_group_name_H-M_alt 'P m n 21'
_space_group_IT_number 31
loop_
_space_group_symop_operation_xyz
'x,y,z'
'-x+1/2,-y,z+1/2'
'-x,y,z'
'x+1/2,-y,z+1/2'
loop_
_atom_site_label
_atom_site_type_symbol
_atom_site_fract_x
_atom_site_fract_y
_atom_site_fract_z
Nd1 Nd 0.0000 0.1567 0.0000
Nd2 Nd 0.2494 0.3177 0.5026
Y1 Y 0.0000 0.8351 0.5056
Ru1 Ru 0.0000 0.5019 0.2529
```



No. 2
The following is a DFT calculation (PBE) of NdYRu2 after structural relaxation.

Results
ΔE_f = -166 meV per atom
density of states at the Fermi level = 5.05 states/eV/f.u.

```
data_NdYRu2
_chemical_formula_sum 'Nd1 Y1 Ru2'
_cell_length_a 3.4587
_cell_length_b 3.4587
_cell_length_c 6.9253
_cell_angle_alpha 90.00
_cell_angle_beta 90.00
_cell_angle_gamma 90.00
_space_group_name_H-M_alt 'P 4/m m m'
_space_group_IT_number 123
_space_group_name_Hall '-P 4 2'
loop_
_atom_site_label
_atom_site_type_symbol
_atom_site_fract_x
_atom_site_fract_y
_atom_site_fract_z
Nd1 Nd 0.0000 0.0000 0.0000
Y1 Y 0.0000 0.0000 0.5000
Ru1 Ru 0.5000 0.5000 0.2537
```



No. 3
The following is a DFT calculation (PBE) of NdYRu after structural relaxation.

Results
excess energy over the best structure of this formula in the dataset = 83 meV per atom
ΔE_f = -187 meV per atom
density of states at the Fermi level = 1.91 states/eV/f.u.

```
data_NdYRu
_chemical_formula_sum 'Nd4 Y4 Ru4'
_cell_length_a 6.8744
_cell_length_b 6.8744
_cell_length_c 6.8744
_cell_angle_alpha 90.00
_cell_angle_beta 90.00
_cell_angle_gamma 90.00
_space_group_name_H-M_alt 'F -4 3 m'
_space_group_IT_number 216
_space_group_name_Hall 'F -4 2 3'
loop_
_atom_site_label
_atom_site_type_symbol
_atom_site_fract_x
_atom_site_fract_y
_atom_site_fract_z
Nd1 Nd 0.0000 0.0000 0.0000
Y1 Y 0.0000 0.0000 0.5000
Ru1 Ru 0.2500 0.2500 0.2500
```



No. 4
The following is a DFT calculation (PBE) of Nd4YRu after structural relaxation.

Results
ΔE_f = -38 meV per atom
density of states at the Fermi level = 8.40 states/eV/f.u.

```
data_Nd4YRu
_chemical_formula_sum 'Nd16 Y4 Ru4'
_cell_length_a 17.6109
_cell_length_b 7.5564
_cell_length_c 6.1153
_cell_angle_alpha 90.00
_cell_angle_beta 110.29
_cell_angle_gamma 90.00
_space_group_name_H-M_alt 'C 1 2/m 1'
_space_group_IT_number 12
loop_
_space_group_symop_operation_xyz
'x,y,z'
'-x,-y,-z'
'-x,y,-z'
'x,-y,z'
'x+1/2,y+1/2,z'
'-x+1/2,-y+1/2,-z'
'-x+1/2,y+1/2,-z'
'x+1/2,-y+1/2,z'
loop_
_atom_site_label
_atom_site_type_symbol
_atom_site_fract_x
_atom_site_fract_y
_atom_site_fract_z
Nd1 Nd 0.0000 0.2074 0.0000
Nd2 Nd 0.1146 0.2508 0.6147
Nd3 Nd 0.1719 0.5000 0.1720
Y1 Y 0.1996 0.0000 0.1998
Ru1 Ru 0.9996 0.5000 0.2605
```



No. 5
The following is a DFT calculation (PBE) of NdYRu after structural relaxation.

Results
excess energy over the best structure of this formula in the dataset = 141 meV per atom
ΔE_f = -129 meV per atom
density of states at the Fermi level = 2.80 states/eV/f.u.

```
data_NdYRu
_chemical_formula_sum 'Nd4 Y4 Ru4'
_cell_length_a 3.5627
_cell_length_b 16.1379
_cell_length_c 5.3429
_cell_angle_alpha 90.00
_cell_angle_beta 90.00
_cell_angle_gamma 90.00
_space_group_name_H-M_alt 'C m c m'
_space_group_IT_number 63
_space_group_name_Hall '-C 2c 2'
loop_
_atom_site_label
_atom_site_type_symbol
_atom_site_fract_x
_atom_site_fract_y
_atom_site_fract_z
Nd1 Nd 0.0000 0.0715 0.2500
Y1 Y 0.0000 0.2097 0.7500
Ru1 Ru 0.0000 0.4244 0.2500
```



No. 6
The following is a DFT calculation (PBE) of Nd3YRu after structural relaxation.

Results
excess energy over the best structure of this formula in the dataset = 105 meV per atom
ΔE_f = 43 meV per atom
density of states at the Fermi level = 8.54 states/eV/f.u.

```
data_Nd3YRu
_chemical_formula_sum 'Nd3 Y1 Ru1'
_cell_length_a 5.5315
_cell_length_b 5.5315
_cell_length_c 5.5315
_cell_angle_alpha 90.00
_cell_angle_beta 90.00
_cell_angle_gamma 90.00
_space_group_name_H-M_alt 'P m -3 m'
_space_group_IT_number 221
_space_group_name_Hall '-P 4 2 3'
loop_
_atom_site_label
_atom_site_type_symbol
_atom_site_fract_x
_atom_site_fract_y
_atom_site_fract_z
Nd1 Nd 0.0000 0.0000 0.5000
Y1 Y 0.5000 0.5000 0.5000
Ru1 Ru 0.0000 0.0000 0.0000
```



No. 7
The following is a DFT calculation (PBE) of NdY3Ru8 after structural relaxation.

Results
ΔE_f = -246 meV per atom
density of states at the Fermi level = 15.13 states/eV/f.u.

```
data_NdY3Ru8
_chemical_formula_sum 'Nd3 Y9 Ru24'
_cell_length_a 5.3566
_cell_length_b 5.3566
_cell_length_c 26.3970
_cell_angle_alpha 90.00
_cell_angle_beta 90.00
_cell_angle_gamma 120.00
_space_group_name_H-M_alt 'R 3 m'
_space_group_IT_number 160
_space_group_name_Hall 'R 3 -2"'
loop_
_atom_site_label
_atom_site_type_symbol
_atom_site_fract_x
_atom_site_fract_y
_atom_site_fract_z
Nd1 Nd 0.0000 0.0000 0.0000
Y1 Y 0.0000 0.0000 0.3751
Y2 Y 0.0000 0.0000 0.4996
Y3 Y 0.0000 0.0000 0.8748
Ru1 Ru 0.0000 0.0000 0.1838
Ru2 Ru 0.0000 0.0000 0.6841
Ru3 Ru 0.0038 0.5019 0.9357
Ru4 Ru 0.0079 0.5040 0.4378
```



No. 8
The following is a DFT calculation (PBE) of Nd4ZnRu2 after structural relaxation.

Results
ΔE_f = -155 meV per atom
density of states at the Fermi level = 5.67 states/eV/f.u.

```
data_Nd4ZnRu2
_chemical_formula_sum 'Nd8 Zn2 Ru4'
_cell_length_a 7.0646
_cell_length_b 7.3489
_cell_length_c 8.2458
_cell_angle_alpha 104.20
_cell_angle_beta 108.93
_cell_angle_gamma 104.88
_space_group_name_H-M_alt 'P 1'
_space_group_IT_number 1
loop_
_space_group_symop_operation_xyz
'x,y,z'
loop_
_atom_site_label
_atom_site_type_symbol
_atom_site_fract_x
_atom_site_fract_y
_atom_site_fract_z
Nd1 Nd 0.0000 0.0000 0.0000
Nd2 Nd 0.0219 0.6262 0.6599
Nd3 Nd 0.2787 0.5538 0.1239
Nd4 Nd 0.4124 0.9276 0.5675
Nd5 Nd 0.4984 0.4699 0.6948
Nd6 Nd 0.5796 0.2362 0.2716
Nd7 Nd 0.8362 0.7016 0.2256
Nd8 Nd 0.9778 0.1194 0.6172
Zn1 Zn 0.4982 0.8755 0.9506
Zn2 Zn 0.7702 0.2925 0.9721
Ru1 Ru 0.0696 0.4312 0.3391
Ru2 Ru 0.1836 0.1291 0.3723
Ru3 Ru 0.3595 0.1728 0.9043
Ru4 Ru 0.6588 0.6957 0.4895
```



No. 9
The following is a DFT calculation (PBE) of NdZnRu after structural relaxation.

Results
ΔE_f = -117 meV per atom
density of states at the Fermi level = 2.10 states/eV/f.u.

```
data_NdZnRu
_chemical_formula_sum 'Nd4 Zn4 Ru4'
_cell_length_a 4.9080
_cell_length_b 8.3662
_cell_length_c 6.6370
_cell_angle_alpha 90.00
_cell_angle_beta 90.00
_cell_angle_gamma 90.00
_space_group_name_H-M_alt 'I m m a'
_space_group_IT_number 74
_space_group_name_Hall '-I 2b 2'
loop_
_atom_site_label
_atom_site_type_symbol
_atom_site_fract_x
_atom_site_fract_y
_atom_site_fract_z
Nd1 Nd 0.0000 0.0000 0.0000
Zn1 Zn 0.0000 0.2500 0.3926
Ru1 Ru 0.2500 0.2500 0.7500
```



No. 10
The following is a DFT calculation (PBE) of Nd2Zn2Ru after structural relaxation.

Results
excess energy over the best structure of this formula in the dataset = 0 meV per atom
ΔE_f = -297 meV per atom
density of states at the Fermi level = 3.57 states/eV/f.u.

```
data_Nd2Zn2Ru
_chemical_formula_sum 'Nd8 Zn8 Ru4'
_cell_length_a 10.8546
_cell_length_b 4.0130
_cell_length_c 11.2550
_cell_angle_alpha 90.00
_cell_angle_beta 110.83
_cell_angle_gamma 90.00
_space_group_name_H-M_alt 'C 1 2/m 1'
_space_group_IT_number 12
loop_
_space_group_symop_operation_xyz
'x,y,z'
'-x,-y,-z'
'-x,y,-z'
'x,-y,z'
'x+1/2,y+1/2,z'
'-x+1/2,-y+1/2,-z'
'-x+1/2,y+1/2,-z'
'x+1/2,-y+1/2,z'
loop_
_atom_site_label
_atom_site_type_symbol
_atom_site_fract_x
_atom_site_fract_y
_atom_site_fract_z
Nd1 Nd 0.0028 0.0000 0.3384
Nd2 Nd 0.1965 0.0000 0.1267
Zn1 Zn 0.0224 0.5000 0.8915
Zn2 Zn 0.1782 0.5000 0.5502
Ru1 Ru 0.1949 0.5000 0.3119
```



No. 11
The following is a DFT calculation (PBE) of NdZn3Ru after structural relaxation.

Results
excess energy over the best structure of this formula in the dataset = 0 meV per atom
ΔE_f = -205 meV per atom
density of states at the Fermi level = 3.01 states/eV/f.u.

```
data_NdZn3Ru
_chemical_formula_sum 'Nd4 Zn12 Ru4'
_cell_length_a 5.8154
_cell_length_b 12.1174
_cell_length_c 5.2940
_cell_angle_alpha 90.00
_cell_angle_beta 90.00
_cell_angle_gamma 90.00
_space_group_name_H-M_alt 'C m c m'
_space_group_IT_number 63
_space_group_name_Hall '-C 2c 2'
loop_
_atom_site_label
_atom_site_type_symbol
_atom_site_fract_x
_atom_site_fract_y
_atom_site_fract_z
Nd1 Nd 0.0000 0.1068 0.2500
Zn1 Zn 0.0000 0.3101 0.7500
Zn2 Zn 0.2349 0.3557 0.2500
Ru1 Ru 0.0000 0.5000 0.0000
```



No. 12
The following is a DFT calculation (PBE) of Nd3Zn3Ru after structural relaxation.

Results
ΔE_f = -278 meV per atom
density of states at the Fermi level = 6.05 states/eV/f.u.

```
data_Nd3Zn3Ru
_chemical_formula_sum 'Nd12 Zn12 Ru4'
_cell_length_a 11.1590
_cell_length_b 3.9643
_cell_length_c 15.4965
_cell_angle_alpha 90.00
_cell_angle_beta 104.62
_cell_angle_gamma 90.00
_space_group_name_H-M_alt 'C 1 2/m 1'
_space_group_IT_number 12
loop_
_space_group_symop_operation_xyz
'x,y,z'
'-x,-y,-z'
'-x,y,-z'
'x,-y,z'
'x+1/2,y+1/2,z'
'-x+1/2,-y+1/2,-z'
'-x+1/2,y+1/2,-z'
'x+1/2,-y+1/2,z'
loop_
_atom_site_label
_atom_site_type_symbol
_atom_site_fract_x
_atom_site_fract_y
_atom_site_fract_z
Nd1 Nd 0.0219 0.0000 0.3873
Nd2 Nd 0.1262 0.0000 0.9230
Nd3 Nd 0.2375 0.0000 0.2400
Zn1 Zn 0.0198 0.5000 0.2270
Zn2 Zn 0.0951 0.5000 0.0761
Zn3 Zn 0.1755 0.5000 0.5348
Ru1 Ru 0.2127 0.5000 0.3670
```